No. 1
Compound: PmPrAgPd
Source: the Alexandria database
Functional: GGA-PBE
Structure: optimized geometry

Cell and atoms, written as POSCAR:
```
PmPrAgPd
1.0
0.0000 3.6913 3.6913
3.6913 0.0000 3.6913
3.6913 3.6913 0.0000
Pm Pr Ag Pd
1 1 1 1
Direct
0.0000 0.0000 0.0000
0.5000 0.5000 0.5000
0.2500 0.2500 0.2500
0.7500 0.7500 0.7500
```

Results
crystal system	cubic
DFT formation energy	-1.930	eV per formula unit
distance to the lowest polymorph of the same formula	11.8	kJ/mol of formula units
N(E_F)	3.1	states/eV/f.u.
space-group type	F-43m, No. 216

---

No. 2
Compound: TcAg2Cl5
Source: the Alexandria database
Functional: GGA-PBE
Structure: optimized geometry

Cell and atoms, written as POSCAR:
```
TcAg2Cl5
1.0
5.2414 -4.3293 0.0000
5.2414 4.3293 0.0000
-3.9357 0.0000 5.0890
Tc Ag Cl
1 2 5
Direct
0.0000 0.0000 0.0000
0.3648 0.9226 0.7588
0.9226 0.3648 0.7588
0.0139 0.0139 0.4234
0.2626 0.7155 0.9654
0.2768 0.2768 0.1957
0.7091 0.7091 0.6910
0.7155 0.2626 0.9654
```

Results
crystal system	monoclinic
E_form (uncorrected)	-0.44	eV/atom
space-group type	Cm, No. 8

---

No. 3
Compound: LaGaAgPd2
Source: the Alexandria database
Functional: GGA-PBE
Structure: optimized geometry

Cell and atoms, written as POSCAR:
```
LaGaAgPd2
1.0
5.2150 0.0000 0.0000
0.0000 5.2150 0.0000
0.0000 0.0000 4.7159
La Ga Ag Pd
1 1 1 2
Direct
0.0000 0.0000 0.0000
0.5000 0.5000 0.0000
0.5000 0.5000 0.5000
0.0000 0.5000 0.5000
0.5000 0.0000 0.5000
```

Results
crystal system	tetragonal
DFT formation energy	0.031	eV per formula unit
N(E_F)	4.0	states/eV/f.u.
space-group type	P4/mmm, No. 123

---

No. 4
Compound: KNbO3
Source: the Alexandria database
Functional: GGA-PBE
Structure: optimized geometry

Cell and atoms, written as POSCAR:
```
KNbO3
1.0
4.1084 0.0000 0.0000
0.0000 4.1084 0.0000
0.0000 0.0000 4.1084
K Nb O
1 1 3
Direct
0.0000 0.0000 0.0000
0.5000 0.5000 0.5000
0.0000 0.0000 0.5000
0.0000 0.5000 0.0000
0.5000 0.0000 0.0000
```

Results
crystal system	cubic
N(E_F)	10.0	states/eV/f.u.
E_form (uncorrected)	1.01	eV/atom
space-group type	Pm-3m, No. 221

---

No. 5
Compound: CsNaBeH4
Source: the Alexandria database
Functional: GGA-PBE
Structure: optimized geometry

Cell and atoms, written as POSCAR:
```
CsNaBeH4
1.0
5.0665 0.0000 0.0000
0.0000 5.4960 0.0000
-1.0931 0.0000 7.6388
Cs Na Be H
2 2 2 8
Direct
0.2377 0.2500 0.3848
0.7623 0.7500 0.6152
0.2962 0.7500 0.0153
0.7038 0.2500 0.9847
0.1829 0.2500 0.8205
0.8171 0.7500 0.1795
0.0828 0.7500 0.2758
0.1771 0.2500 0.0072
0.3270 0.0334 0.7774
0.3270 0.4666 0.7774
0.6730 0.5334 0.2226
0.6730 0.9666 0.2226
0.8229 0.7500 0.9928
0.9172 0.2500 0.7242
```

Results
E	-3.0417	eV/atom
crystal system	monoclinic
N(E_F)	0.0	states/eV/f.u.
space-group type	P2_1/m, No. 11

---

No. 6
Compound: Na2LiAl3F12
Source: the Alexandria database
Functional: GGA-PBE
Structure: optimized geometry

Cell and atoms, written as POSCAR:
```
Na2LiAl3F12
1.0
3.5168 2.0304 5.6672
-3.5168 2.0304 5.6672
0.0000 -4.0608 5.6672
Na Li Al F
2 1 3 12
Direct
0.1732 0.1732 0.1732
0.8268 0.8268 0.8268
0.5000 0.5000 0.5000
0.0000 0.5000 0.5000
0.5000 0.0000 0.5000
0.5000 0.5000 0.0000
0.1249 0.5951 0.5951
0.2019 0.2019 0.5752
0.2019 0.5752 0.2019
0.4049 0.4049 0.8751
0.4049 0.8751 0.4049
0.4248 0.7981 0.7981
0.5752 0.2019 0.2019
0.5951 0.1249 0.5951
0.5951 0.5951 0.1249
0.7981 0.4248 0.7981
0.7981 0.7981 0.4248
0.8751 0.4049 0.4049
```

Results
crystal system	trigonal
N(E_F)	0.0	states/eV/f.u.
E_form (uncorrected)	-3.29	eV/atom
space-group type	R-3m, No. 166

---

No. 7
Compound: Zn2SnTe2
Source: the Alexandria database
Functional: GGA-PBE
Structure: optimized geometry

Cell and atoms, written as POSCAR:
```
Zn2SnTe2
1.0
8.1054 0.0000 0.0000
0.0000 8.1054 0.0000
0.0000 0.0000 3.9683
Zn Sn Te
4 2 4
Direct
0.1061 0.3939 0.0000
0.3939 0.8939 0.0000
0.6061 0.1061 0.0000
0.8939 0.6061 0.0000
0.0000 0.0000 0.0000
0.5000 0.5000 0.0000
0.2316 0.7316 0.5000
0.2684 0.2316 0.5000
0.7316 0.7684 0.5000
0.7684 0.2684 0.5000
```

Results
crystal system	tetragonal
N(E_F)	2.6	states/eV/f.u.
E_form (uncorrected)	0.01	eV/atom
space-group type	P4/mbm, No. 127

---

No. 8
Compound: BeBiCl2
Source: the Alexandria database
Functional: GGA-PBE
Structure: optimized geometry

Cell and atoms, written as POSCAR:
```
BeBiCl2
1.0
1.6402 0.9470 12.0867
-1.6402 0.9470 12.0867
0.0000 -1.8940 12.0867
Be Bi Cl
1 1 2
Direct
0.0000 0.0000 0.0000
0.5000 0.5000 0.5000
0.3679 0.3679 0.3679
0.6321 0.6321 0.6321
```

Results
crystal system	trigonal
distance to the lowest polymorph of the same formula	0.0	kJ/mol of formula units
N(E_F)	1.0	states/eV/f.u.
E_form (uncorrected)	-0.71	eV/atom
space-group type	R-3m, No. 166

---

No. 9
Compound: Pa2MnRh
Source: the Alexandria database
Functional: GGA-PBE
Structure: optimized geometry

Cell and atoms, written as POSCAR:
```
Pa2MnRh
1.0
1.5323 0.8847 9.4426
-1.5323 0.8847 9.4426
0.0000 -1.7693 9.4426
Pa Mn Rh
2 1 1
Direct
0.0909 0.0909 0.0909
0.9091 0.9091 0.9091
0.5000 0.5000 0.5000
0.0000 0.0000 0.0000
```

Results
crystal system	trigonal
DFT formation energy	0.691	eV per formula unit
distance to the lowest polymorph of the same formula	133.1	kJ/mol of formula units
N(E_F)	5.8	states/eV/f.u.
space-group type	R-3m, No. 166

---

No. 10
Compound: SmDy6Y4
Source: the Alexandria database
Functional: GGA-PBE
Structure: optimized geometry

Cell and atoms, written as POSCAR:
```
SmDy6Y4
1.0
-3.2881 3.2881 8.5741
3.2881 -3.2881 8.5741
3.2881 3.2881 -8.5741
Sm Dy Y
1 6 4
Direct
0.0000 0.0000 0.0000
0.0000 0.5000 0.5000
0.0144 0.6432 0.0000
0.3568 0.3568 0.3712
0.5000 0.0000 0.5000
0.6432 0.0144 0.0000
0.9856 0.9856 0.6288
0.1870 0.1870 0.6409
0.4540 0.8130 0.0000
0.5460 0.5460 0.3591
0.8130 0.4540 0.0000
```

Results
crystal system	tetragonal
DFT formation energy	3.528	eV per formula unit
distance to the lowest polymorph of the same formula	16.9	kJ/mol of formula units
N(E_F)	15.4	states/eV/f.u.
space-group type	I-42m, No. 121

---

No. 11
Compound: La5Ir2O12
Source: the Alexandria database
Functional: GGA-PBE
Structure: optimized geometry

Cell and atoms, written as POSCAR:
```
La5Ir2O12
1.0
6.4602 -3.1265 0.0000
6.4602 3.1265 0.0000
-2.2587 0.0000 7.3482
La Ir O
5 2 12
Direct
0.0000 0.0000 0.0000
0.3049 0.3049 0.6632
0.3059 0.3059 0.1424
0.6941 0.6941 0.8576
0.6951 0.6951 0.3368
0.2464 0.7536 0.5000
0.7536 0.2464 0.5000
0.0004 0.0004 0.3378
0.9996 0.9996 0.6622
0.0937 0.6006 0.9236
0.1028 0.5739 0.4184
0.3994 0.9063 0.0764
0.4261 0.8972 0.5816
0.4987 0.4987 0.6675
0.5013 0.5013 0.3325
0.5739 0.1028 0.4184
0.6006 0.0937 0.9236
0.8972 0.4261 0.5816
0.9063 0.3994 0.0764
```

Results
crystal system	monoclinic
N(E_F)	5.2	states/eV/f.u.
E_form (uncorrected)	-2.60	eV/atom
space-group type	C2/m, No. 12

---

No. 12
Compound: Ac8Rh3SI4
Source: the Alexandria database
Functional: GGA-PBE
Structure: optimized geometry

Cell and atoms, written as POSCAR:
```
Ac8Rh3SI4
1.0
4.4215 2.5527 8.5948
-4.4215 2.5527 8.5948
0.0000 -5.1055 8.5948
Ac Rh S I
8 3 1 4
Direct
0.2162 0.7356 0.7356
0.2280 0.2280 0.2280
0.2644 0.2644 0.7838
0.2644 0.7838 0.2644
0.7356 0.2162 0.7356
0.7356 0.7356 0.2162
0.7720 0.7720 0.7720
0.7838 0.2644 0.2644
0.0000 0.0000 0.5000
0.0000 0.5000 0.0000
0.5000 0.0000 0.0000
0.5000 0.5000 0.5000
0.0000 0.0000 0.0000
0.0000 0.5000 0.5000
0.5000 0.0000 0.5000
0.5000 0.5000 0.0000
```

Results
crystal system	trigonal
N(E_F)	8.4	states/eV/f.u.
E_form (uncorrected)	-1.11	eV/atom
space-group type	R-3m, No. 166